Entry 1:
Computed, not measured: PuIn2Br6 after structural relaxation at the PBE level of DFT.

symmetry: P2_1/c, No. 14
energy relative to the elements, uncorrected: -1.05 eV/atom
final energy: -39.3 eV/f.u.

Lattice parameters (Å, degrees): 7.6352 8.2507 10.9583 90.00 95.56 90.00
Last column: magnetic moment on the atom in μB.
Positions (direct):
1 Br 0.8637 0.9537 0.2588  -0.08
2 Br 0.1363 0.0463 0.7412  -0.08
3 Br 0.3637 0.5463 0.7588  -0.08
4 Br 0.6680 0.2224 0.9307  -0.08
5 In 0.5364 0.9061 0.7239  -0.02
6 Br 0.7990 0.6774 0.9564  -0.07
7 Br 0.3320 0.7776 0.0693  -0.08
8 Br 0.1680 0.2776 0.4307  -0.08
9 Pu 0.5000 0.5000 0.0000  4.58
10 Br 0.7010 0.1774 0.5436  -0.07
11 Br 0.8320 0.7224 0.5693  -0.08
12 Br 0.2010 0.3226 0.0436  -0.07
13 In 0.4636 0.0939 0.2761  -0.02
14 Br 0.6363 0.4537 0.2412  -0.08
15 In 0.0364 0.5939 0.2239  -0.02
16 Br 0.2990 0.8226 0.4564  -0.07
17 Pu 0.0000 0.0000 0.5000  4.58
18 In 0.9636 0.4061 0.7761  -0.02

=====

Entry 2:
Computed, not measured: PuInBr6 after structural relaxation at the PBE level of DFT.

symmetry: R-3, No. 148
energy relative to the elements, uncorrected: -1.09 eV/atom
final energy: -35.8 eV/f.u.

Lattice parameters (Å, degrees): 6.9561 6.9571 7.6005 62.74 62.75 59.99
Last column: magnetic moment on the atom in μB.
Positions (direct):
1 Br 0.2571 0.9044 0.2572  -0.03
2 Br 0.0954 0.4189 0.7428  -0.03
3 Br 0.4187 0.7431 0.7426  -0.03
4 Br 0.9046 0.5811 0.2572  -0.03
5 In 0.5000 0.5000 0.5000  0.04
6 Pu 0.0000 0.0000 0.0000  5.04
7 Br 0.7429 0.0956 0.7428  -0.03
8 Br 0.5813 0.2569 0.2574  -0.03

=====

Entry 3:
Computed, not measured: PuIn3Br9 after structural relaxation at the PBE level of DFT.

symmetry: Cc, No. 9
energy relative to the elements, uncorrected: -0.91 eV/atom
final energy: -49.5 eV/f.u.

Lattice parameters (Å, degrees): 9.8525 10.5296 13.2458 69.53 68.17 62.11
Last column: magnetic moment on the atom in μB.
Positions (direct):
1 Br 0.8037 0.4741 0.9577  -0.03
2 Br 0.5259 0.7531 0.4405  -0.04
3 In 0.8175 0.6013 0.7040  0.00
4 Br 0.2812 0.5498 0.0611  -0.02
5 Br 0.0276 0.5552 0.4005  0.00
6 Br 0.0166 0.0552 0.9005  0.00
7 Br 0.2805 0.2531 0.9405  -0.04
8 Pu 0.0249 0.5020 0.0241  5.06
9 Pu 0.4490 0.0020 0.5241  5.06
10 In 0.2842 0.4464 0.2689  0.01
11 Br 0.3987 0.1594 0.2931  -0.02
12 In 0.8772 0.1013 0.2040  0.00
13 Br 0.7645 0.9741 0.4577  -0.03
14 In 0.0006 0.9464 0.7689  0.01
15 Br 0.5316 0.4613 0.2830  0.00
16 Br 0.9718 0.3243 0.2348  -0.04
17 Br 0.2161 0.8936 0.1857  -0.01
18 In 0.5006 0.2655 0.7339  -0.02
19 Br 0.7242 0.9613 0.7830  0.00
20 Br 0.1487 0.6594 0.7931  -0.02
21 In 0.5000 0.7655 0.2339  -0.02
22 Br 0.4691 0.8243 0.7348  -0.04
23 Br 0.1079 0.0498 0.5611  -0.02
24 Br 0.7994 0.7716 0.0905  -0.04
25 Br 0.3384 0.2716 0.5905  -0.04
26 Br 0.7046 0.3936 0.6857  -0.01

=====

Entry 4:
Computed, not measured: PuIn2Br5 after structural relaxation at the PBE level of DFT.

symmetry: Pnma, No. 62
energy relative to the elements, uncorrected: -1.10 eV/atom
final energy: -37.0 eV/f.u.

Lattice parameters (Å, degrees): 8.5510 9.1075 13.5707 90.00 90.00 90.00
Last column: magnetic moment on the atom in μB.
Positions (direct):
1 Br 0.6659 0.4581 0.4210  -0.04
2 In 0.4469 0.9972 0.8289  0.00
3 Br 0.8400 0.7500 0.2050  -0.03
4 Br 0.6176 0.2500 0.6834  -0.03
5 Br 0.0788 0.2500 0.5046  -0.02
6 In 0.9469 0.0028 0.6711  0.00
7 Br 0.6659 0.0419 0.4210  -0.04
8 Pu 0.9330 0.7500 0.9977  5.09
9 Pu 0.0670 0.2500 0.0023  5.09
10 Br 0.4212 0.2500 0.0046  -0.02
11 In 0.5531 0.4972 0.1711  0.00
12 Br 0.8341 0.4581 0.9210  -0.04
13 Br 0.1176 0.7500 0.8166  -0.03
14 Br 0.5788 0.7500 0.9954  -0.02
15 In 0.9469 0.4972 0.6711  0.00
16 Pu 0.5670 0.7500 0.4977  5.09
17 Br 0.8824 0.2500 0.1834  -0.03
18 Br 0.3341 0.9581 0.5790  -0.04
19 Br 0.6600 0.7500 0.7050  -0.03
20 Pu 0.4330 0.2500 0.5023  5.09
21 Br 0.9212 0.7500 0.4954  -0.02
22 In 0.4469 0.5028 0.8289  0.00
23 In 0.5531 0.0028 0.1711  0.00
24 In 0.0531 0.9972 0.3289  0.00
25 Br 0.3824 0.7500 0.3166  -0.03
26 Br 0.8341 0.0419 0.9210  -0.04
27 Br 0.1659 0.9581 0.0790  -0.04
28 Br 0.3400 0.2500 0.2950  -0.03
29 Br 0.3341 0.5419 0.5790  -0.04
30 Br 0.1600 0.2500 0.7950  -0.03
31 Br 0.1659 0.5419 0.0790  -0.04
32 In 0.0531 0.5028 0.3289  0.00

=====

Entry 5:
Computed, not measured: PuIn2Br8 after structural relaxation at the PBE level of DFT.

symmetry: C2/m, No. 12
energy relative to the elements, uncorrected: -0.96 eV/atom
final energy: -43.8 eV/f.u.

Lattice parameters (Å, degrees): 7.1225 8.4106 8.4106 69.01 98.37 98.37
Last column: magnetic moment on the atom in μB.
Positions (direct):
1 Br 0.2832 0.1837 0.1837  -0.01
2 In 0.6602 0.2025 0.2025  0.05
3 Br 0.7168 0.8163 0.8163  -0.01
4 Br 0.7730 0.2990 0.8939  -0.01
5 Br 0.7730 0.8939 0.2990  -0.01
6 Br 0.2270 0.1061 0.7010  -0.01
7 Br 0.2270 0.7010 0.1061  -0.01
8 Br 0.1977 0.6182 0.6182  0.02
9 Pu 0.0000 0.0000 0.0000  5.47
10 In 0.3398 0.7975 0.7975  0.05
11 Br 0.8023 0.3818 0.3818  0.02

=====

Entry 6:
Computed, not measured: PuIn4Br6 after structural relaxation at the PBE level of DFT.

symmetry: P4/mnc, No. 128
energy relative to the elements, uncorrected: -0.85 eV/atom
final energy: -44.6 eV/f.u.

Lattice parameters (Å, degrees): 8.6810 8.6810 9.9579 90.00 90.00 90.00
Last column: magnetic moment on the atom in μB.
Positions (direct):
1 Br 0.1504 0.3057 0.5000  -0.01
2 Br 0.0000 0.0000 0.7940  -0.01
3 Br 0.8496 0.6943 0.5000  -0.01
4 Br 0.5000 0.5000 0.7060  -0.01
5 In 0.1468 0.6468 0.2500  0.02
6 Br 0.3496 0.8057 0.0000  -0.01
7 Pu 0.0000 0.0000 0.5000  5.51
8 In 0.6468 0.8532 0.7500  0.02
9 Br 0.3057 0.8496 0.5000  -0.01
10 In 0.1468 0.6468 0.7500  0.02
11 Br 0.0000 0.0000 0.2060  -0.01
12 In 0.6468 0.8532 0.2500  0.02
13 In 0.3532 0.1468 0.7500  0.02
14 Br 0.6943 0.1504 0.5000  -0.01
15 Pu 0.5000 0.5000 0.0000  5.51
16 In 0.8532 0.3532 0.7500  0.02
17 In 0.8532 0.3532 0.2500  0.02
18 In 0.3532 0.1468 0.2500  0.02
19 Br 0.1943 0.3496 0.0000  -0.01
20 Br 0.8057 0.6504 0.0000  -0.01
21 Br 0.5000 0.5000 0.2940  -0.01
22 Br 0.6504 0.1943 0.0000  -0.01

=====

Entry 7:
Computed, not measured: RbPuIn2Br6 after structural relaxation at the PBE level of DFT.

symmetry: R3, No. 146
energy relative to the elements, uncorrected: -1.23 eV/atom
final energy: -43.1 eV/f.u.

Lattice parameters (Å, degrees): 8.2111 8.2091 8.6052 61.49 61.50 59.98
Last column: magnetic moment on the atom in μB.
Positions (direct):
1 In 0.0127 0.0126 0.9620  -0.01
2 Pu 0.3240 0.3239 0.0282  5.08
3 Br 0.1462 0.3989 0.7663  -0.02
4 Br 0.2137 0.9776 0.2430  -0.03
5 Br 0.5656 0.2138 0.2429  -0.03
6 Br 0.6889 0.1458 0.7665  -0.02
7 In 0.5226 0.5225 0.4321  0.00
8 Br 0.9775 0.5660 0.2427  -0.03
9 Br 0.3989 0.6888 0.7663  -0.02
10 Rb 0.8115 0.8116 0.5653  0.00

=====

Entry 8:
Computed, not measured: RbPuInBr6 after structural relaxation at the PBE level of DFT.

symmetry: P4_2nm, No. 102
energy relative to the elements, uncorrected: -1.28 eV/atom
final energy: -39.6 eV/f.u.

Lattice parameters (Å, degrees): 7.4135 7.4135 14.0463 90.00 90.00 90.00
Last column: magnetic moment on the atom in μB.
Positions (direct):
1 In 0.0000 0.0000 0.0030  -0.07
2 Rb 0.0000 0.0000 0.6705  0.00
3 Br 0.3070 0.3070 0.9707  -0.07
4 Br 0.2647 0.2647 0.3428  -0.08
5 Rb 0.5000 0.5000 0.1705  0.00
6 Pu 0.5000 0.5000 0.8341  4.59
7 Pu 0.0000 0.0000 0.3341  4.59
8 Br 0.6930 0.6930 0.9707  -0.07
9 Br 0.2353 0.7647 0.8428  -0.08
10 Br 0.7353 0.7353 0.3428  -0.08
11 Br 0.1744 0.8256 0.1827  -0.07
12 In 0.5000 0.5000 0.5030  -0.07
13 Br 0.6744 0.6744 0.6827  -0.07
14 Br 0.3256 0.3256 0.6827  -0.07
15 Br 0.1930 0.8070 0.4707  -0.07
16 Br 0.8256 0.1744 0.1827  -0.07
17 Br 0.8070 0.1930 0.4707  -0.07
18 Br 0.7647 0.2353 0.8428  -0.08

=====

Entry 9:
Computed, not measured: Rb2PuInBr6 after structural relaxation at the PBE level of DFT.

symmetry: P2_1/c, No. 14
energy relative to the elements, uncorrected: -1.47 eV/atom
final energy: -43.7 eV/f.u.

Lattice parameters (Å, degrees): 8.0460 8.6269 11.6184 90.00 89.29 90.00
Last column: magnetic moment on the atom in μB.
Positions (direct):
1 Br 0.2116 0.1833 0.4444  -0.02
2 Br 0.8850 0.5426 0.2340  -0.02
3 Br 0.3850 0.9574 0.7340  -0.02
4 Rb 0.0290 0.9236 0.2511  0.00
5 Br 0.7116 0.3167 0.9444  -0.02
6 Rb 0.9710 0.0764 0.7489  0.00
7 Br 0.1150 0.4574 0.7660  -0.02
8 In 0.0000 0.5000 0.5000  -0.01
9 In 0.5000 0.0000 0.0000  -0.01
10 Rb 0.4710 0.4236 0.2489  0.00
11 Br 0.6730 0.2827 0.5597  -0.02
12 Br 0.7884 0.8167 0.5556  -0.02
13 Br 0.1730 0.2173 0.0597  -0.02
14 Rb 0.5290 0.5764 0.7511  0.00
15 Br 0.3270 0.7173 0.4403  -0.02
16 Br 0.8270 0.7827 0.9403  -0.02
17 Br 0.6150 0.0426 0.2660  -0.02
18 Br 0.2884 0.6833 0.0556  -0.02
19 Pu 0.5000 0.0000 0.5000  5.08
20 Pu 0.0000 0.5000 0.0000  5.08

=====

Entry 10:
Computed, not measured: PuInSn2Br8 after structural relaxation at the PBE level of DFT.

symmetry: P2/m, No. 10
energy relative to the elements, uncorrected: -0.97 eV/atom
final energy: -50.2 eV/f.u.

Lattice parameters (Å, degrees): 7.2143 6.9464 9.0937 89.98 89.99 88.96
Last column: magnetic moment on the atom in μB.
Positions (direct):
1 Br 0.8404 0.2434 0.7749  -0.03
2 Br 0.3215 0.2474 0.0001  -0.02
3 Sn 0.5000 0.5000 0.7465  0.00
4 Br 0.1596 0.7566 0.2251  -0.03
5 Br 0.6785 0.7526 0.9999  -0.02
6 Sn 0.5000 0.5000 0.2535  0.00
7 Br 0.6397 0.7231 0.4999  0.00
8 Br 0.1599 0.7568 0.7750  -0.03
9 In 0.0000 0.0000 0.5000  -0.01
10 Br 0.8401 0.2432 0.2250  -0.03
11 Br 0.3603 0.2769 0.5001  0.00
12 Pu 0.0000 0.0000 0.0000  5.09

=====

Entry 11:
Computed, not measured: SrPuInBr6 after structural relaxation at the PBE level of DFT.

symmetry: P-31c, No. 163
energy relative to the elements, uncorrected: -1.53 eV/atom
final energy: -42.5 eV/f.u.

Lattice parameters (Å, degrees): 7.7846 7.7846 13.8589 90.00 90.00 120.00
Last column: magnetic moment on the atom in μB.
Positions (direct):
1 In 0.0000 0.0000 0.0000  -0.01
2 Br 0.0176 0.6486 0.8674  -0.02
3 Br 0.6310 0.9824 0.8674  -0.02
4 In 0.0000 0.0000 0.5000  -0.01
5 Br 0.3514 0.3690 0.8674  -0.02
6 Br 0.6310 0.6486 0.6326  -0.02
7 Br 0.9824 0.6310 0.3674  -0.02
8 Br 0.3690 0.3514 0.3674  -0.02
9 Br 0.9824 0.3514 0.1326  -0.02
10 Br 0.6486 0.0176 0.3674  -0.02
11 Br 0.6486 0.6310 0.1326  -0.02
12 Pu 0.3333 0.6667 0.7500  5.07
13 Pu 0.6667 0.3333 0.2500  5.07
14 Br 0.3690 0.0176 0.1326  -0.02
15 Sr 0.6667 0.3333 0.7500  0.00
16 Sr 0.3333 0.6667 0.2500  0.00
17 Br 0.3514 0.9824 0.6326  -0.02
18 Br 0.0176 0.3690 0.6326  -0.02

=====

Entry 12:
Computed, not measured: PuTlIn2Br6 after structural relaxation at the PBE level of DFT.

symmetry: P2_1/c, No. 14
energy relative to the elements, uncorrected: -1.05 eV/atom
final energy: -42.7 eV/f.u.

Lattice parameters (Å, degrees): 7.7996 8.7161 11.2585 90.00 85.89 90.00
Last column: magnetic moment on the atom in μB.
Positions (direct):
1 Br 0.8495 0.5739 0.2345  -0.02
2 Br 0.6624 0.2716 0.5864  -0.03
3 Pu 0.0000 0.5000 0.0000  5.07
4 Br 0.3376 0.7284 0.4136  -0.03
5 Pu 0.5000 0.0000 0.5000  5.07
6 Br 0.8139 0.8383 0.5400  -0.02
7 Tl 0.5000 0.0000 0.0000  0.00
8 Br 0.8376 0.7716 0.9136  -0.03
9 Br 0.3495 0.9261 0.7345  -0.02
10 Br 0.1624 0.2284 0.0864  -0.03
11 In 0.0258 0.9219 0.2749  0.00
12 Br 0.3139 0.6617 0.0400  -0.02
13 In 0.4742 0.4219 0.2251  0.00
14 Br 0.1505 0.4261 0.7655  -0.02
15 Br 0.1861 0.1617 0.4600  -0.02
16 Br 0.6505 0.0739 0.2655  -0.02
17 In 0.9742 0.0781 0.7251  0.00
18 Br 0.6861 0.3383 0.9600  -0.02
19 In 0.5258 0.5781 0.7749  0.00
20 Tl 0.0000 0.5000 0.5000  0.00

=====

Entry 13:
Computed, not measured: RbIn2Br7 after structural relaxation at the PBE level of DFT.

symmetry: Cmmm, No. 65
energy relative to the elements, uncorrected: -0.91 eV/atom
final energy: -27.3 eV/f.u.

Lattice parameters (Å, degrees): 4.4030 11.1801 11.1801 134.86 90.00 90.00
Positions (direct):
1 Br 0.5000 0.9240 0.6760
2 Br 0.5000 0.3240 0.0760
3 Br 0.5000 0.0760 0.3240
4 In 0.5000 0.3661 0.6339
5 In 0.5000 0.6339 0.3661
6 Br 0.5000 0.6760 0.9240
7 Br 0.5000 0.5000 0.5000
8 Br 0.0000 0.7112 0.2888
9 Rb 0.0000 0.0000 0.0000
10 Br 0.0000 0.2888 0.7112

=====

Entry 14:
Computed, not measured: Rb2In2Br after structural relaxation at the PBE level of DFT.

symmetry: I4/mmm, No. 139
energy relative to the elements, uncorrected: -0.68 eV/atom
final energy: -12.5 eV/f.u.

Lattice parameters (Å, degrees): 4.3001 4.3001 11.1360 78.87 78.87 90.00
Positions (direct):
1 Rb 0.5935 0.5935 0.8129
2 Br 0.0000 0.0000 0.0000
3 In 0.2500 0.7500 0.5000
4 In 0.7500 0.2500 0.5000
5 Rb 0.4065 0.4065 0.1871

=====

Entry 15:
Computed, not measured: Rb4InBr6 after structural relaxation at the PBE level of DFT.

symmetry: P4/mnc, No. 128
energy relative to the elements, uncorrected: -1.44 eV/atom
final energy: -32.5 eV/f.u.

Lattice parameters (Å, degrees): 9.4791 9.4791 9.6221 90.00 90.00 90.00
Positions (direct):
1 Br 0.6938 0.0983 0.5000
2 Br 0.0983 0.3062 0.5000
3 Br 0.1938 0.4017 0.0000
4 Br 0.9017 0.6938 0.5000
5 Br 0.0000 0.0000 0.2012
6 Br 0.5000 0.5000 0.2988
7 Br 0.0000 0.0000 0.7988
8 Rb 0.6695 0.8305 0.7500
9 Rb 0.1695 0.6695 0.2500
10 Br 0.4017 0.8062 0.0000
11 Rb 0.3305 0.1695 0.7500
12 Rb 0.1695 0.6695 0.7500
13 Br 0.5983 0.1938 0.0000
14 Rb 0.8305 0.3305 0.7500
15 Rb 0.6695 0.8305 0.2500
16 Br 0.8062 0.5983 0.0000
17 In 0.0000 0.0000 0.5000
18 In 0.5000 0.5000 0.0000
19 Br 0.5000 0.5000 0.7012
20 Rb 0.8305 0.3305 0.2500
21 Rb 0.3305 0.1695 0.2500
22 Br 0.3062 0.9017 0.5000

=====

Entry 16:
Computed, not measured: Rb2InBr7 after structural relaxation at the PBE level of DFT.

symmetry: I4/mmm, No. 139
energy relative to the elements, uncorrected: -0.90 eV/atom
final energy: -25.4 eV/f.u.

Lattice parameters (Å, degrees): 7.9403 7.9403 8.3093 61.46 61.46 90.00
Positions (direct):
1 Br 0.2422 0.7578 0.0000
2 Rb 0.2500 0.7500 0.5000
3 Br 0.2197 0.2197 0.5605
4 Br 0.7578 0.2422 0.0000
5 Br 0.5000 0.5000 0.0000
6 In 0.0000 0.0000 0.0000
7 Br 0.7578 0.7578 0.0000
8 Br 0.2422 0.2422 0.0000
9 Rb 0.7500 0.2500 0.5000
10 Br 0.7803 0.7803 0.4395

=====

Entry 17:
Computed, not measured: Rb2InBr after structural relaxation at the PBE level of DFT.

symmetry: Fm-3m, No. 225
energy relative to the elements, uncorrected: -0.46 eV/atom
final energy: -8.2 eV/f.u.

Lattice parameters (Å, degrees): 6.3480 6.3480 6.3480 60.00 60.00 60.00
Positions (direct):
1 Br 0.0000 0.0000 0.0000
2 Rb 0.7500 0.7500 0.7500
3 In 0.5000 0.5000 0.5000
4 Rb 0.2500 0.2500 0.2500